Entry 1:
First-principles (PBE+U) data for a relaxed structure of Ba2LaMo3O12, as listed in Alexandria.

```
Ba2LaMo3O12
1.0
7.031 -0.271 -0.192
3.237 6.247 -0.192
3.237 1.884 5.960
Mo O Ba La
3 12 2 1
direct
0.500 0.000 0.000 Mo
0.000 0.500 0.000 Mo
0.000 0.000 0.500 Mo
0.424 0.868 0.868 O
0.726 0.099 0.726 O
0.868 0.424 0.868 O
0.132 0.132 0.576 O
0.868 0.868 0.424 O
0.274 0.274 0.901 O
0.726 0.726 0.099 O
0.132 0.576 0.132 O
0.576 0.132 0.132 O
0.901 0.274 0.274 O
0.274 0.901 0.274 O
0.099 0.726 0.726 O
0.617 0.617 0.617 Ba
0.383 0.383 0.383 Ba
0.000 0.000 0.000 La
```

## Properties
SG = R-3m (166)
Total magnetization = 1.00 μB/f.u.
D(E_F) = 4.095 states/eV/cell



Entry 2:
First-principles (PBE+U) data for a relaxed structure of BaLa2MoO, as listed in Alexandria.

```
BaLa2MoO
1.0
-0.334 5.105 -1.318
-6.299 -0.626 -0.828
-0.792 1.258 5.070
Mo O La Ba
1 1 2 1
direct
0.000 0.000 0.000 Mo
0.500 0.500 0.500 O
0.000 0.000 0.500 La
0.500 0.000 0.000 La
0.000 0.500 0.000 Ba
```

## Properties
SG = P4/mmm (123)
Total magnetization = 0.24 μB/f.u.
D(E_F) = 4.386 states/eV/cell



| no. | raw total energy (hartree per atom) |
| --- | --- |
| 1 | -0.2631 |
| 2 | -0.1504 |